# 1
Here is a relaxed structure of PmAlZn3Ag from Alexandria via LeMat-Bulk. Energies are from GGA-PBE.

Properties
The value obtained for the formation energy is -0.07 eV/atom. As for the space group: No. 63. The value obtained for the total energy is -2.598 eV per atom. The calculation puts the density of states at the Fermi level at 4.2 states/eV/cell.

Structure (POSCAR):
```
PmAlZn3Ag
1.0
5.928 0.000 0.000
0.000 6.189 0.000
0.000 -3.095 6.512
Al Ag Zn Pm
2 2 6 2
Direct
0.250 0.925 0.850
0.750 0.075 0.150
0.250 0.340 0.680
0.750 0.660 0.320
0.000 0.301 0.000
0.750 0.870 0.740
0.500 0.699 0.000
0.000 0.699 0.000
0.500 0.301 0.000
0.250 0.130 0.260
0.250 0.700 0.399
0.750 0.300 0.601
```

***

# 2
Here is a relaxed structure of Pm4Al2ZnAg from Alexandria via LeMat-Bulk. Energies are from GGA-PBE.

Properties
The value obtained for the formation energy is -0.32 eV/atom. As for the space group: No. 166. The value obtained for the total energy is -4.146 eV per atom. The calculation puts the density of states at the Fermi level at 8.1 states/eV/cell.

Structure (POSCAR):
```
Pm4Al2ZnAg
1.0
5.245 0.000 0.000
2.623 4.542 0.000
2.623 1.514 8.595
Pm Zn Al Ag
4 1 2 1
Direct
0.373 0.373 0.880
0.627 0.627 0.120
0.123 0.123 0.630
0.877 0.877 0.370
0.000 0.000 0.000
0.250 0.250 0.250
0.750 0.750 0.750
0.500 0.500 0.500
```

***

# 3
Here is a relaxed structure of Pm2Al4Zn3Ag from Alexandria via LeMat-Bulk. Energies are from GGA-PBE.

Properties
The value obtained for the formation energy is -0.40 eV/atom. As for the space group: No. 115. The value obtained for the total energy is -3.512 eV per atom. The calculation puts the density of states at the Fermi level at 4.5 states/eV/cell.

Structure (POSCAR):
```
Pm2Al4Zn3Ag
1.0
-0.869 2.974 -2.929
-3.982 -1.489 -0.330
-3.170 6.750 7.795
Zn Al Pm Ag
3 4 2 1
Direct
0.000 0.500 0.136
0.000 0.000 0.500
0.500 0.000 0.864
0.500 0.000 0.636
0.000 0.000 0.000
0.000 0.500 0.364
0.500 0.500 0.000
0.000 0.500 0.755
0.500 0.000 0.245
0.500 0.500 0.500
```

***

The lowest total energy belongs to which entry? Pm4Al2ZnAg

***

Which formula does entry 1 have? PmAlZn3Ag

***

Which of these has the lowest formation energy? Pm2Al4Zn3Ag

***

Number 1 is which compound? PmAlZn3Ag